Record 1
Computed, not measured: a relaxed Cd2IrBr crystal at the PBE level of DFT.

Cell lengths 6.3465, 6.3465, 7.9279 Å; angles 66.41, 66.41, 90.00 degrees
Fractional coordinates of all 8 atoms:
Cd 0.8750 0.9191 0.7500
Cd 0.3750 0.3309 0.7500
Cd 0.0809 0.6250 0.2500
Cd 0.6691 0.1250 0.2500
Ir 0.0000 0.0000 0.0000
Ir 0.7500 0.2500 0.5000
Br 0.5000 0.5000 0.0000
Br 0.2500 0.7500 0.5000

## Properties
Crystal system   tetragonal
D(E_F)   0.000 states/eV/atom
Offset from the most stable computed form   462 meV/atom
Magnetization   0.00 μB per cell
Calculated volume   263 Å³ per cell
Space-group type   No. 122

---

Record 2
Computed, not measured: a relaxed Zr2CoSi crystal at the PBE level of DFT.

Cell lengths 4.7044, 4.7044, 3.1753 Å; angles 90.00, 90.00, 104.44 degrees
Fractional coordinates of all 4 atoms:
Co 0.5000 0.0000 0.5000
Zr 0.0000 0.0000 0.0000
Zr 0.5000 0.5000 0.0000
Si 0.0000 0.5000 0.5000

## Properties
Crystal system   orthorhombic
D(E_F)   0.882 states/eV/atom
VASP energy   -31.14 eV/cell
Magnetization   0.91 μB per cell
Calculated volume   68 Å³ per cell
Space-group type   No. 65

---

Record 3
Computed, not measured: a relaxed SrTa2VZn crystal at the PBE level of DFT.

Cell lengths 4.9450, 4.5031, 4.9450 Å; angles 90.00, 90.00, 90.00 degrees
Fractional coordinates of all 5 atoms:
Zn 0.5000 0.5000 0.5000
V 0.0000 0.5000 0.0000
Sr 0.0000 0.0000 0.0000
Ta 0.0000 0.0000 0.5000
Ta 0.5000 0.0000 0.0000

## Properties
Crystal system   tetragonal
D(E_F)   0.984 states/eV/atom
Offset from the most stable computed form   0 meV/atom
Magnetization   0.80 μB per cell
Calculated volume   110 Å³ per cell
Calculated formation energy   264.5 kJ per mole of atoms
Space-group type   No. 123

---

Record 4
Computed, not measured: a relaxed CaLaTm2 crystal at the PBE level of DFT.

Cell lengths 3.6765, 3.6765, 10.2124 Å; angles 90.00, 90.00, 90.00 degrees
Fractional coordinates of all 4 atoms:
Tm 0.0000 0.0000 0.2363
Tm 0.0000 0.0000 0.7637
La 0.5000 0.5000 0.0000
Ca 0.5000 0.5000 0.5000

## Properties
Crystal system   tetragonal
D(E_F)   1.872 states/eV/atom
Offset from the most stable computed form   22 meV/atom
Magnetization   0.01 μB per cell
Calculated volume   138 Å³ per cell
Calculated formation energy   9.6 kJ per mole of atoms
Space-group type   No. 123

---

Record 5
Computed, not measured: a relaxed GeRh2Pb crystal at the PBE level of DFT.

Cell lengths 4.5850, 4.5850, 4.5850 Å; angles 60.00, 60.00, 60.00 degrees
Fractional coordinates of all 4 atoms:
Rh 0.2500 0.2500 0.2500
Rh 0.7500 0.7500 0.7500
Ge 0.0000 0.0000 0.0000
Pb 0.5000 0.5000 0.5000

## Properties
Crystal system   cubic
D(E_F)   1.231 states/eV/atom
Offset from the most stable computed form   220 meV/atom
Magnetization   0.00 μB per cell
Calculated volume   68 Å³ per cell
Calculated formation energy   -0.9 kJ per mole of atoms
Space-group type   No. 225

---

Q: What is the formula in the fourth record?
A: CaLaTm2

---

Q: The highest D(E_F) belongs to which entry?
A: CaLaTm2